This record from the Alexandria database describes U2B6Mo at its PBEsol-relaxed geometry. The functional is SCAN.

Output
energy of formation	-508.3	meV/atom

Cell: 3.6504 9.1907 11.2705 Å, 90.00 90.00 90.00°
Element x y z (fractional)
B: 0.5000 0.1961 0.7278
B: 0.5000 0.5497 0.4334
B: 0.5000 0.1408 0.4611
B: 0.5000 0.4503 0.5666
B: 0.5000 0.3039 0.2278
B: 0.5000 0.6408 0.0389
B: 0.5000 0.6961 0.7722
B: 0.5000 0.3592 0.9611
B: 0.5000 0.3558 0.8126
B: 0.5000 0.0497 0.0666
B: 0.5000 0.7434 0.4241
B: 0.5000 0.6442 0.1874
B: 0.5000 0.8558 0.6874
B: 0.5000 0.7566 0.9241
B: 0.5000 0.8039 0.2722
B: 0.5000 0.8592 0.5389
B: 0.5000 0.9851 0.2180
B: 0.5000 0.1442 0.3126
B: 0.5000 0.4851 0.2820
B: 0.5000 0.0149 0.7820
B: 0.5000 0.9503 0.9334
B: 0.5000 0.5149 0.7180
B: 0.5000 0.2566 0.5759
B: 0.5000 0.2434 0.0759
Mo: 0.0000 0.1450 0.1799
Mo: 0.0000 0.8550 0.8201
Mo: 0.0000 0.6450 0.3201
Mo: 0.0000 0.3550 0.6799
U: 0.0000 0.6655 0.5923
U: 0.0000 0.0439 0.6059
U: 0.0000 0.3345 0.4077
U: 0.0000 0.9561 0.3941
U: 0.0000 0.5439 0.8941
U: 0.0000 0.8345 0.0923
U: 0.0000 0.4561 0.1059
U: 0.0000 0.1655 0.9077